The following is a GGA+U calculation of an optimized crystal structure of UTaNiO6, from Alexandria via LeMat-Bulk.

Summary:
symmetry: P-31c (163)
size of the total moment: 3.000 μB/f.u.
calculated total energy: -157.7 eV for the cell shown

The structure in extended XYZ format:
```
18
Lattice="5.182 0.000 0.000 -2.591 4.488 0.000 0.000 0.000 9.639" Properties=species:S:1:pos:R:3 pbc="T T T"
U 0.000 0.000 0.000
U 0.000 0.000 4.820
Ta 0.000 2.992 2.410
Ta 2.591 1.496 7.229
Ni 0.000 2.992 7.229
Ni 2.591 1.496 2.410
O -0.825 1.553 1.285
O -1.658 2.997 3.535
O 0.825 1.553 3.535
O -0.833 4.425 1.285
O 1.758 0.062 6.104
O 0.933 1.491 8.354
O 1.658 2.997 1.285
O 0.833 4.425 3.535
O 3.424 0.062 8.354
O 1.766 2.934 6.104
O 4.249 1.491 6.104
O 3.416 2.934 8.354
```